This record from the Alexandria database describes ScAl3Mo after structural relaxation. The functional is GGA-PBEsol.

a = 4.8632 Å, b = 4.8632 Å, c = 4.8632 Å
α = 90.00°, β = 90.00°, γ = 90.00°
Closest atoms and distances in Å follow each position.
Space group Pm-3m (No. 221)
Unique sites:
1 Sc 0.0000 0.0000 0.0000 [1 per cell]  6 Al 2.43
2 Al 0.0000 0.0000 0.5000 [3 per cell]  2 Sc 2.43
3 Mo 0.5000 0.5000 0.5000 [1 per cell]  12 Al 3.44

As for the formation energy: 1.623 eV/atom. As for the volume: 115 Å³/cell. The value obtained for the total energy is -4.51 eV per atom. The crystal system is cubic.